No. 1
The following is a GGA-PBE calculation of CaAsOs2 after structural relaxation, from the Alexandria database.

Output
Raw total energy = -6.84 eV per atom

Structure (extended XYZ):
```
4
Lattice="3.058 0.000 0.000 0.000 4.783 0.000 -0.124 0.000 4.830" Properties=species:S:1:pos:R:3 pbc="T T T"
Ca 0.000 0.000 0.000
As 1.467 0.000 2.415
Os 1.050 2.392 3.604
Os 1.884 2.392 1.227
```

No. 2
The following is a GGA-PBE calculation of CaAsOs2 after structural relaxation, from the Alexandria database.

Output
Raw total energy = -6.69 eV per atom

Structure (extended XYZ):
```
8
Lattice="-3.741 3.741 2.750 3.741 -3.741 2.750 3.741 3.741 -2.750" Properties=species:S:1:pos:R:3 pbc="T T T"
Ca 0.000 0.000 0.000
Ca 0.000 3.741 1.375
As 3.741 0.000 1.375
As 0.000 0.000 2.750
Os 1.870 -1.303 2.063
Os 2.438 1.870 0.688
Os 1.870 5.044 -0.688
Os 1.303 1.870 3.438
```

No. 3
The following is a GGA-PBE calculation of CaAsOs2 after structural relaxation, from the Alexandria database.

Output
Raw total energy = -6.94 eV per atom

Structure (extended XYZ):
```
4
Lattice="4.840 -1.521 0.000 4.840 1.521 0.000 -1.770 0.000 4.766" Properties=species:S:1:pos:R:3 pbc="T T T"
Ca 0.000 0.000 0.000
As 3.955 0.000 2.383
Os 0.896 0.000 3.260
Os 7.014 0.000 1.506
```